1.
Compound: Nd3SmIr
Source: the Alexandria database
Functional: GGA-PBE
Structure: relaxed

Lattice parameters (Å, degrees): 9.879 10.165 6.772 90.00 111.44 90.00
Space group C2/m (No. 12)
Asymmetric unit:
Nd 0.068 0.000 0.271 (multiplicity 4)
Nd 0.183 0.250 0.733 (multiplicity 8)
Sm 0.066 0.500 0.267 (multiplicity 4)
Ir 0.248 0.500 0.001 (multiplicity 4)

---

2.
Compound: NdSmIr2
Source: the Alexandria database
Functional: GGA-PBE
Structure: relaxed

Lattice parameters (Å, degrees): 4.893 4.893 3.658 90.00 90.00 90.00
Space group P4/mmm (No. 123)
Asymmetric unit:
Nd 0.000 0.000 0.000 (multiplicity 1)
Sm 0.500 0.500 0.000 (multiplicity 1)
Ir 0.000 0.500 0.500 (multiplicity 2)

---

3.
Compound: Nd5SmIr4
Source: the Alexandria database
Functional: GGA-PBE
Structure: relaxed

Lattice parameters (Å, degrees): 18.691 4.331 7.646 90.00 114.03 90.00
Space group C2/m (No. 12)
Asymmetric unit:
Nd 0.000 0.000 0.000 (multiplicity 2)
Nd 0.165 0.500 0.423 (multiplicity 4)
Nd 0.165 0.500 0.908 (multiplicity 4)
Sm 0.000 0.000 0.500 (multiplicity 2)
Ir 0.000 0.500 0.247 (multiplicity 4)
Ir 0.198 0.000 0.698 (multiplicity 4)

---

4.
Compound: NdSmIr
Source: the Alexandria database
Functional: GGA-PBE
Structure: relaxed

Lattice parameters (Å, degrees): 13.757 3.950 7.821 90.00 122.32 90.00
Space group Cm (No. 8)
Asymmetric unit:
Nd 0.000 0.000 0.000 (multiplicity 2)
Nd 0.156 0.500 0.503 (multiplicity 2)
Sm 0.243 0.000 0.987 (multiplicity 2)
Sm 0.416 0.500 0.478 (multiplicity 2)
Ir 0.068 0.500 0.783 (multiplicity 2)
Ir 0.233 0.000 0.343 (multiplicity 2)

---

5.
Compound: Nd2Sm3Ir2
Source: the Alexandria database
Functional: GGA-PBE
Structure: relaxed

Lattice parameters (Å, degrees): 12.424 3.910 9.151 90.00 116.25 90.00
Space group C2/m (No. 12)
Asymmetric unit:
Nd 0.168 0.000 0.308 (multiplicity 4)
Sm 0.000 0.500 0.500 (multiplicity 2)
Sm 0.118 0.500 0.929 (multiplicity 4)
Ir 0.177 0.000 0.742 (multiplicity 4)

---

6.
Compound: Nd8SmIr6
Source: the Alexandria database
Functional: GGA-PBE
Structure: relaxed

Lattice parameters (Å, degrees): 8.5155 8.5155 18.6936 90.00 90.00 120.00
Space group R-3 (No. 148, hexagonal axes)
Asymmetric unit:
Nd 0.0000 0.0000 0.1670 (multiplicity 6)
Nd 0.0008 0.3322 0.6120 (multiplicity 18)
Sm 0.0000 0.0000 0.5000 (multiplicity 3)
Ir 0.0003 0.3323 0.4426 (multiplicity 18)

---

Result set for energy of formation: -0.2492, -0.5868, -0.5341, -0.3996, -0.5190, -0.5927 eV per atom, one per record in the order listed.
Result set for size of the total moment: 0.00, 0.00, 0.00, 0.00, 0.00, 0.00 μB per atom, one per record in the order listed.